Below is an optimized crystal structure of LiMnTe2, with properties calculated at the GGA-PBE level.

Values from the calculation:
E   -4.704 eV per atom
D(E_F)   6.9 states/eV per cell

Cell and atoms, written as CIF:
```
data_LiMnTe2
_symmetry_space_group_name_H-M 'P n a 21'
_symmetry_Int_Tables_number 33
_cell_length_a 7.256
_cell_length_b 9.195
_cell_length_c 7.307
_cell_angle_alpha 90.00
_cell_angle_beta 90.00
_cell_angle_gamma 90.00
loop_
_symmetry_equiv_pos_as_xyz
'x,y,z'
'-x,-y,z+1/2'
'-x+1/2,y+1/2,z+1/2'
'x+1/2,-y+1/2,z'
loop_
_atom_site_label
_atom_site_type_symbol
_atom_site_fract_x
_atom_site_fract_y
_atom_site_fract_z
_atom_site_occupancy
Li1 Li 0.106 0.114 0.000 1
Mn1 Mn 0.072 0.624 0.000 1
Te1 Te 0.034 0.625 0.641 1
Te2 Te 0.086 0.135 0.618 1
```

Below is an optimized crystal structure of La12Pr5Nd2, with properties calculated at the GGA-PBE level.

Values from the calculation:
Formation energy   0.141 eV/atom
Energy above the lowest structure with this stoichiometry   0.070 eV/atom
D(E_F)   63.5 states/eV per cell

Cell and atoms, written as CIF:
```
data_La12Pr5Nd2
_symmetry_space_group_name_H-M 'C 1 2/m 1'
_symmetry_Int_Tables_number 12
_cell_length_a 19.734
_cell_length_b 7.624
_cell_length_c 10.321
_cell_angle_alpha 90.00
_cell_angle_beta 116.23
_cell_angle_gamma 90.00
loop_
_symmetry_equiv_pos_as_xyz
'x,y,z'
'-x,-y,-z'
'-x,y,-z'
'x,-y,z'
'x+1/2,y+1/2,z'
'-x+1/2,-y+1/2,-z'
'-x+1/2,y+1/2,-z'
'x+1/2,-y+1/2,z'
loop_
_atom_site_label
_atom_site_type_symbol
_atom_site_fract_x
_atom_site_fract_y
_atom_site_fract_z
_atom_site_occupancy
La1 La 0.010 0.000 0.355 1
La2 La 0.012 0.500 0.219 1
La3 La 0.157 0.250 0.847 1
La4 La 0.167 0.266 0.499 1
Pr1 Pr 0.000 0.500 0.500 1
Pr2 Pr 0.177 0.500 0.165 1
Pr3 Pr 0.179 0.000 0.199 1
Nd1 Nd 0.000 0.201 0.000 1
```

Below is an optimized crystal structure of Tb2TiCuS5, with properties calculated at the GGA-PBE level.

Values from the calculation:
E   -6.197 eV per atom
D(E_F)   9.5 states/eV per cell

Cell and atoms, written as CIF:
```
data_Tb2TiCuS5
_symmetry_space_group_name_H-M 'C m c 21'
_symmetry_Int_Tables_number 36
_cell_length_a 3.731
_cell_length_b 16.223
_cell_length_c 11.176
_cell_angle_alpha 90.00
_cell_angle_beta 90.00
_cell_angle_gamma 90.00
loop_
_symmetry_equiv_pos_as_xyz
'x,y,z'
'-x,-y,z+1/2'
'-x,y,z'
'x,-y,z+1/2'
'x+1/2,y+1/2,z'
'-x+1/2,-y+1/2,z+1/2'
'-x+1/2,y+1/2,z'
'x+1/2,-y+1/2,z+1/2'
loop_
_atom_site_label
_atom_site_type_symbol
_atom_site_fract_x
_atom_site_fract_y
_atom_site_fract_z
_atom_site_occupancy
Tb1 Tb 0.000 0.114 0.000 1
Tb2 Tb 0.000 0.128 0.616 1
Ti1 Ti 0.000 0.191 0.321 1
Cu1 Cu 0.000 0.434 0.754 1
S1 S 0.000 0.050 0.364 1
S2 S 0.000 0.288 0.973 1
S3 S 0.000 0.305 0.665 1
S4 S 0.000 0.350 0.312 1
S5 S 0.000 0.497 0.081 1
```

Below is an optimized crystal structure of TbGdMgGa, with properties calculated at the GGA-PBE level.

Values from the calculation:
Formation energy   -0.342 eV/atom
D(E_F)   11.9 states/eV per cell

Cell and atoms, written as CIF:
```
data_TbGdMgGa
_symmetry_space_group_name_H-M 'F -4 3 m'
_symmetry_Int_Tables_number 216
_symmetry_space_group_name_Hall 'F -4 2 3'
_cell_length_a 7.360
_cell_length_b 7.360
_cell_length_c 7.360
_cell_angle_alpha 90.00
_cell_angle_beta 90.00
_cell_angle_gamma 90.00
loop_
_atom_site_label
_atom_site_type_symbol
_atom_site_fract_x
_atom_site_fract_y
_atom_site_fract_z
_atom_site_occupancy
Tb1 Tb 0.000 0.000 0.000 1
Gd1 Gd 0.000 0.000 0.500 1
Mg1 Mg 0.250 0.250 0.250 1
Ga1 Ga 0.250 0.250 0.750 1
```

Below is an optimized crystal structure of LuB12, with properties calculated at the GGA-PBE level.

Values from the calculation:
Formation energy   -0.235 eV/atom
D(E_F)   17.6 states/eV per cell

Cell and atoms, written as CIF:
```
data_LuB12
_symmetry_space_group_name_H-M 'F m -3 m'
_symmetry_Int_Tables_number 225
_symmetry_space_group_name_Hall '-F 4 2 3'
_cell_length_a 7.458
_cell_length_b 7.458
_cell_length_c 7.458
_cell_angle_alpha 90.00
_cell_angle_beta 90.00
_cell_angle_gamma 90.00
loop_
_atom_site_label
_atom_site_type_symbol
_atom_site_fract_x
_atom_site_fract_y
_atom_site_fract_z
_atom_site_occupancy
Lu1 Lu 0.000 0.000 0.000 1
B1 B 0.000 0.169 0.331 1
```

Below is an optimized crystal structure of Sr5Li2Rh, with properties calculated at the GGA-PBE level.

Values from the calculation:
Formation energy   -0.047 eV/atom
D(E_F)   23.2 states/eV per cell

Cell and atoms, written as CIF:
```
data_Sr5Li2Rh
_symmetry_space_group_name_H-M 'C 1 2/c 1'
_symmetry_Int_Tables_number 15
_cell_length_a 19.436
_cell_length_b 7.091
_cell_length_c 9.152
_cell_angle_alpha 90.00
_cell_angle_beta 97.52
_cell_angle_gamma 90.00
loop_
_symmetry_equiv_pos_as_xyz
'x,y,z'
'-x,-y,-z'
'-x,y,-z+1/2'
'x,-y,z+1/2'
'x+1/2,y+1/2,z'
'-x+1/2,-y+1/2,-z'
'-x+1/2,y+1/2,-z+1/2'
'x+1/2,-y+1/2,z+1/2'
loop_
_atom_site_label
_atom_site_type_symbol
_atom_site_fract_x
_atom_site_fract_y
_atom_site_fract_z
_atom_site_occupancy
Sr1 Sr 0.000 0.128 0.250 1
Sr2 Sr 0.104 0.366 0.927 1
Sr3 Sr 0.225 0.102 0.308 1
Li1 Li 0.110 0.147 0.570 1
Rh1 Rh 0.250 0.250 0.000 1
```

Below is an optimized crystal structure of LiTlCu2Br6, with properties calculated at the GGA-PBE level.

Values from the calculation:
E   -2.859 eV per atom
D(E_F)   24.7 states/eV per cell

Cell and atoms, written as CIF:
```
data_LiTlCu2Br6
_symmetry_space_group_name_H-M 'C 1 2/c 1'
_symmetry_Int_Tables_number 15
_cell_length_a 13.572
_cell_length_b 12.818
_cell_length_c 6.921
_cell_angle_alpha 90.00
_cell_angle_beta 104.24
_cell_angle_gamma 90.00
loop_
_symmetry_equiv_pos_as_xyz
'x,y,z'
'-x,-y,-z'
'-x,y,-z+1/2'
'x,-y,z+1/2'
'x+1/2,y+1/2,z'
'-x+1/2,-y+1/2,-z'
'-x+1/2,y+1/2,-z+1/2'
'x+1/2,-y+1/2,z+1/2'
loop_
_atom_site_label
_atom_site_type_symbol
_atom_site_fract_x
_atom_site_fract_y
_atom_site_fract_z
_atom_site_occupancy
Li1 Li 0.000 0.177 0.250 1
Tl1 Tl 0.000 0.385 0.750 1
Cu1 Cu 0.181 0.084 0.797 1
Br1 Br 0.121 0.236 0.597 1
Br2 Br 0.132 0.419 0.135 1
Br3 Br 0.135 0.078 0.117 1
```

Below is an optimized crystal structure of Sm2Y4Tm7, with properties calculated at the GGA-PBE level.

Values from the calculation:
Formation energy   0.189 eV/atom
D(E_F)   20.6 states/eV per cell

Cell and atoms, written as CIF:
```
data_Sm2Y4Tm7
_symmetry_space_group_name_H-M 'P -1'
_symmetry_Int_Tables_number 2
_cell_length_a 6.231
_cell_length_b 8.686
_cell_length_c 8.720
_cell_angle_alpha 68.56
_cell_angle_beta 81.48
_cell_angle_gamma 81.76
loop_
_symmetry_equiv_pos_as_xyz
'x,y,z'
'-x,-y,-z'
loop_
_atom_site_label
_atom_site_type_symbol
_atom_site_fract_x
_atom_site_fract_y
_atom_site_fract_z
_atom_site_occupancy
Sm1 Sm 0.188 0.353 0.013 1
Y1 Y 0.331 0.231 0.593 1
Y2 Y 0.353 0.785 0.782 1
Tm1 Tm 0.112 0.608 0.607 1
Tm2 Tm 0.192 0.006 0.359 1
Tm3 Tm 0.334 0.595 0.231 1
Tm4 Tm 0.500 0.000 0.000 1
```

Below is an optimized crystal structure of LaBi3Pd3, with properties calculated at the GGA-PBE level.

Values from the calculation:
Formation energy   -0.552 eV/atom
Energy above the lowest structure with this stoichiometry   0.000 eV/atom
D(E_F)   10.1 states/eV per cell

Cell and atoms, written as CIF:
```
data_LaBi3Pd3
_symmetry_space_group_name_H-M 'P 63/m'
_symmetry_Int_Tables_number 176
_symmetry_space_group_name_Hall '-P 6c'
_cell_length_a 9.2524
_cell_length_b 9.2524
_cell_length_c 4.7752
_cell_angle_alpha 90.00
_cell_angle_beta 90.00
_cell_angle_gamma 120.00
loop_
_atom_site_label
_atom_site_type_symbol
_atom_site_fract_x
_atom_site_fract_y
_atom_site_fract_z
_atom_site_occupancy
La1 La 0.3333 0.6667 0.2500 1
Bi1 Bi 0.0382 0.7455 0.7500 1
Pd1 Pd 0.0723 0.4659 0.7500 1
```

Below is an optimized crystal structure of ReSiOs2, with properties calculated at the GGA-PBE level.

Values from the calculation:
E   -10.094 eV per atom
D(E_F)   7.1 states/eV per cell

Cell and atoms, written as CIF:
```
data_ReSiOs2
_symmetry_space_group_name_H-M 'A m m 2'
_symmetry_Int_Tables_number 38
_cell_length_a 3.973
_cell_length_b 2.786
_cell_length_c 10.205
_cell_angle_alpha 90.00
_cell_angle_beta 90.00
_cell_angle_gamma 90.00
loop_
_symmetry_equiv_pos_as_xyz
'x,y,z'
'-x,-y,z'
'-x,y,z'
'x,-y,z'
'x,y+1/2,z+1/2'
'-x,-y+1/2,z+1/2'
'-x,y+1/2,z+1/2'
'x,-y+1/2,z+1/2'
loop_
_atom_site_label
_atom_site_type_symbol
_atom_site_fract_x
_atom_site_fract_y
_atom_site_fract_z
_atom_site_occupancy
Re1 Re 0.000 0.000 0.000 1
Si1 Si 0.500 0.000 0.604 1
Os1 Os 0.000 0.000 0.735 1
Os2 Os 0.500 0.000 0.366 1
```

Below is an optimized crystal structure of CrNiMoRh, with properties calculated at the GGA-PBE level.

Values from the calculation:
Formation energy   -0.051 eV/atom
Energy above the lowest structure with this stoichiometry   0.000 eV/atom
D(E_F)   3.0 states/eV per cell

Cell and atoms, written as CIF:
```
data_CrNiMoRh
_symmetry_space_group_name_H-M 'P m m m'
_symmetry_Int_Tables_number 47
_cell_length_a 3.669
_cell_length_b 3.715
_cell_length_c 3.870
_cell_angle_alpha 90.00
_cell_angle_beta 90.00
_cell_angle_gamma 90.00
loop_
_symmetry_equiv_pos_as_xyz
'x,y,z'
'-x,-y,-z'
'-x,-y,z'
'x,y,-z'
'x,-y,-z'
'-x,y,z'
'-x,y,-z'
'x,-y,z'
loop_
_atom_site_label
_atom_site_type_symbol
_atom_site_fract_x
_atom_site_fract_y
_atom_site_fract_z
_atom_site_occupancy
Cr1 Cr 0.000 0.000 0.000 1
Ni1 Ni 0.000 0.500 0.500 1
Mo1 Mo 0.500 0.500 0.000 1
Rh1 Rh 0.500 0.000 0.500 1
```

Below is an optimized crystal structure of CaMgRe2O8, with properties calculated at the GGA-PBE level.

Values from the calculation:
E   -7.598 eV per atom
D(E_F)   8.9 states/eV per cell

Cell and atoms, written as CIF:
```
data_CaMgRe2O8
_symmetry_space_group_name_H-M 'P -3 m 1'
_symmetry_Int_Tables_number 164
_symmetry_space_group_name_Hall '-P 3 2"'
_cell_length_a 5.7932
_cell_length_b 5.7932
_cell_length_c 6.4353
_cell_angle_alpha 90.00
_cell_angle_beta 90.00
_cell_angle_gamma 120.00
loop_
_atom_site_label
_atom_site_type_symbol
_atom_site_fract_x
_atom_site_fract_y
_atom_site_fract_z
_atom_site_occupancy
Ca1 Ca 0.0000 0.0000 0.0000 1
Mg1 Mg 0.0000 0.0000 0.5000 1
Re1 Re 0.3333 0.6667 0.7826 1
O1 O 0.1587 0.3175 0.7093 1
O2 O 0.3333 0.6667 0.0582 1
```